# 1
The following is a DFT calculation (PBE-GGA) of a relaxed structure of ZnReSe2I.

Geometry as CIF:
```
data_ZnReSe2I
_chemical_formula_sum 'Zn1 Re1 Se2 I1'
_symmetry_space_group_name_H-M 'P 1'
_symmetry_Int_Tables_number 1
_cell_length_a 4.705
_cell_length_b 4.705
_cell_length_c 6.175
_cell_angle_alpha 90.00
_cell_angle_beta 90.00
_cell_angle_gamma 90.00
loop_
_symmetry_equiv_pos_as_xyz
'x,y,z'
loop_
_atom_site_label
_atom_site_fract_x
_atom_site_fract_y
_atom_site_fract_z
Zn1 0.000 0.000 0.000
Re1 0.000 0.000 0.500
Se1 0.000 0.500 0.000
Se2 0.500 0.000 0.000
I1 0.500 0.500 0.500
```

- Formation energy (no corrections): 1.28 eV/atom

---

# 2
The following is a DFT calculation (PBE-GGA) of a relaxed structure of ZrCoHg2.

Geometry as CIF:
```
data_ZrCoHg2
_chemical_formula_sum 'Zr2 Co2 Hg4'
_symmetry_space_group_name_H-M 'P 1'
_symmetry_Int_Tables_number 1
_cell_length_a 5.964
_cell_length_b 8.819
_cell_length_c 2.958
_cell_angle_alpha 90.00
_cell_angle_beta 90.34
_cell_angle_gamma 90.00
loop_
_symmetry_equiv_pos_as_xyz
'x,y,z'
loop_
_atom_site_label
_atom_site_fract_x
_atom_site_fract_y
_atom_site_fract_z
Zr1 0.000 0.000 0.000
Zr2 0.500 0.500 0.000
Co1 0.000 0.500 0.000
Co2 0.500 0.000 0.000
Hg1 0.250 0.250 0.500
Hg2 0.250 0.750 0.500
Hg3 0.750 0.250 0.500
Hg4 0.750 0.750 0.500
```

- Energy relative to the elements: 0.29 eV/atom

---

# 3
The following is a DFT calculation (PBE-GGA) of a relaxed structure of ZrBeCl2.

Geometry as CIF:
```
data_ZrBeCl2
_chemical_formula_sum 'Zr1 Be1 Cl2'
_symmetry_space_group_name_H-M 'P 1'
_symmetry_Int_Tables_number 1
_cell_length_a 3.355
_cell_length_b 3.274
_cell_length_c 8.144
_cell_angle_alpha 90.00
_cell_angle_beta 90.33
_cell_angle_gamma 90.00
loop_
_symmetry_equiv_pos_as_xyz
'x,y,z'
loop_
_atom_site_label
_atom_site_fract_x
_atom_site_fract_y
_atom_site_fract_z
Zr1 0.000 0.000 0.000
Be1 0.505 0.500 0.173
Cl1 0.517 0.000 0.323
Cl2 0.998 0.500 0.757
```

- Formation energy (no corrections): -0.79 eV/atom
- Relative energy among the computed polymorphs: 0.0145 eV/atom

---

# 4
The following is a DFT calculation (PBE-GGA) of a relaxed structure of ScGaCuCl.

Geometry as CIF:
```
data_ScGaCuCl
_chemical_formula_sum 'Sc1 Ga1 Cu1 Cl1'
_symmetry_space_group_name_H-M 'P 1'
_symmetry_Int_Tables_number 1
_cell_length_a 3.171
_cell_length_b 3.171
_cell_length_c 8.308
_cell_angle_alpha 79.75
_cell_angle_beta 80.08
_cell_angle_gamma 90.00
loop_
_symmetry_equiv_pos_as_xyz
'x,y,z'
loop_
_atom_site_label
_atom_site_fract_x
_atom_site_fract_y
_atom_site_fract_z
Sc1 0.000 0.000 0.000
Ga1 0.827 0.820 0.387
Cu1 0.394 0.390 0.238
Cl1 0.584 0.586 0.815
```

- Formation energy (no corrections): -0.59 eV/atom
- Relative energy among the computed polymorphs: 0.0617 eV/atom

---

# 5
The following is a DFT calculation (PBE-GGA) of a relaxed structure of RbDy2MgTe4.

Geometry as CIF:
```
data_RbDy2MgTe4
_chemical_formula_sum 'Rb2 Dy4 Mg2 Te8'
_symmetry_space_group_name_H-M 'P 1'
_symmetry_Int_Tables_number 1
_cell_length_a 8.043
_cell_length_b 8.043
_cell_length_c 15.799
_cell_angle_alpha 90.00
_cell_angle_beta 90.00
_cell_angle_gamma 147.66
loop_
_symmetry_equiv_pos_as_xyz
'x,y,z'
loop_
_atom_site_label
_atom_site_fract_x
_atom_site_fract_y
_atom_site_fract_z
Rb1 0.119 0.881 0.750
Rb2 0.881 0.119 0.250
Dy1 0.375 0.625 0.555
Dy2 0.375 0.625 0.945
Dy3 0.625 0.375 0.055
Dy4 0.625 0.375 0.445
Mg1 0.163 0.837 0.250
Mg2 0.837 0.163 0.750
Te1 0.000 0.000 0.000
Te2 0.000 0.000 0.500
Te3 0.262 0.738 0.106
Te4 0.262 0.738 0.394
Te5 0.440 0.560 0.750
Te6 0.560 0.440 0.250
Te7 0.738 0.262 0.606
Te8 0.738 0.262 0.894
```

- Formation energy (no corrections): -1.17 eV/atom

---

# 6
The following is a DFT calculation (PBE-GGA) of a relaxed structure of Sc2HRu.

Geometry as CIF:
```
data_Sc2HRu
_chemical_formula_sum 'Sc2 H1 Ru1'
_symmetry_space_group_name_H-M 'P 1'
_symmetry_Int_Tables_number 1
_cell_length_a 3.090
_cell_length_b 3.090
_cell_length_c 6.582
_cell_angle_alpha 90.00
_cell_angle_beta 90.00
_cell_angle_gamma 90.00
loop_
_symmetry_equiv_pos_as_xyz
'x,y,z'
loop_
_atom_site_label
_atom_site_fract_x
_atom_site_fract_y
_atom_site_fract_z
Sc1 0.000 0.000 0.245
Sc2 0.000 0.000 0.755
H1 0.500 0.500 0.500
Ru1 0.500 0.500 0.000
```

- Relative energy among the computed polymorphs: 0.1691 eV/atom

---

# 7
The following is a DFT calculation (PBE-GGA) of a relaxed structure of Mg2GaPPt6.

Geometry as CIF:
```
data_Mg2GaPPt6
_chemical_formula_sum 'Mg4 Ga2 P2 Pt12'
_symmetry_space_group_name_H-M 'P 1'
_symmetry_Int_Tables_number 1
_cell_length_a 5.570
_cell_length_b 8.557
_cell_length_c 7.907
_cell_angle_alpha 90.00
_cell_angle_beta 90.00
_cell_angle_gamma 90.00
loop_
_symmetry_equiv_pos_as_xyz
'x,y,z'
loop_
_atom_site_label
_atom_site_fract_x
_atom_site_fract_y
_atom_site_fract_z
Mg1 0.250 0.001 0.244
Mg2 0.250 0.499 0.244
Mg3 0.750 0.501 0.756
Mg4 0.750 0.999 0.756
Ga1 0.250 0.750 0.793
Ga2 0.750 0.250 0.207
P1 0.250 0.250 0.729
P2 0.750 0.750 0.271
Pt1 0.001 0.750 0.520
Pt2 0.012 0.750 0.056
Pt3 0.250 0.003 0.618
Pt4 0.250 0.497 0.618
Pt5 0.488 0.750 0.056
Pt6 0.499 0.750 0.520
Pt7 0.501 0.250 0.480
Pt8 0.512 0.250 0.944
Pt9 0.750 0.503 0.382
Pt10 0.750 0.997 0.382
Pt11 0.988 0.250 0.944
Pt12 0.999 0.250 0.480
```

- Energy relative to the elements: -0.48 eV/atom

---

# 8
The following is a DFT calculation (PBE-GGA) of a relaxed structure of CsMnGa3.

Geometry as CIF:
```
data_CsMnGa3
_chemical_formula_sum 'Cs1 Mn1 Ga3'
_symmetry_space_group_name_H-M 'P 1'
_symmetry_Int_Tables_number 1
_cell_length_a 4.916
_cell_length_b 4.916
_cell_length_c 4.916
_cell_angle_alpha 90.00
_cell_angle_beta 90.00
_cell_angle_gamma 90.00
loop_
_symmetry_equiv_pos_as_xyz
'x,y,z'
loop_
_atom_site_label
_atom_site_fract_x
_atom_site_fract_y
_atom_site_fract_z
Cs1 0.000 0.000 0.000
Mn1 0.500 0.500 0.500
Ga1 0.000 0.500 0.500
Ga2 0.500 0.000 0.500
Ga3 0.500 0.500 0.000
```

- Energy relative to the elements: 0.04 eV/atom

---

# 9
The following is a DFT calculation (PBE-GGA) of a relaxed structure of Sc4Ga12Pt.

Geometry as CIF:
```
data_Sc4Ga12Pt
_chemical_formula_sum 'Sc4 Ga12 Pt1'
_symmetry_space_group_name_H-M 'P 1'
_symmetry_Int_Tables_number 1
_cell_length_a 7.282
_cell_length_b 7.282
_cell_length_c 7.282
_cell_angle_alpha 109.47
_cell_angle_beta 109.47
_cell_angle_gamma 109.47
loop_
_symmetry_equiv_pos_as_xyz
'x,y,z'
loop_
_atom_site_label
_atom_site_fract_x
_atom_site_fract_y
_atom_site_fract_z
Sc1 0.000 0.000 0.500
Sc2 0.000 0.500 0.000
Sc3 0.500 0.000 0.000
Sc4 0.500 0.500 0.500
Ga1 0.000 0.297 0.297
Ga2 0.000 0.703 0.703
Ga3 0.250 0.500 0.750
Ga4 0.250 0.750 0.500
Ga5 0.297 0.000 0.297
Ga6 0.297 0.297 0.000
Ga7 0.500 0.250 0.750
Ga8 0.500 0.750 0.250
Ga9 0.703 0.000 0.703
Ga10 0.703 0.703 0.000
Ga11 0.750 0.250 0.500
Ga12 0.750 0.500 0.250
Pt1 0.000 0.000 0.000
```

- Energy relative to the elements: -0.55 eV/atom

---

# 10
The following is a DFT calculation (PBE-GGA) of a relaxed structure of CdGaTe2N.

Geometry as CIF:
```
data_CdGaTe2N
_chemical_formula_sum 'Cd1 Ga1 Te2 N1'
_symmetry_space_group_name_H-M 'P 1'
_symmetry_Int_Tables_number 1
_cell_length_a 5.961
_cell_length_b 5.961
_cell_length_c 3.473
_cell_angle_alpha 90.00
_cell_angle_beta 90.00
_cell_angle_gamma 90.00
loop_
_symmetry_equiv_pos_as_xyz
'x,y,z'
loop_
_atom_site_label
_atom_site_fract_x
_atom_site_fract_y
_atom_site_fract_z
Cd1 0.000 0.000 0.000
Ga1 0.500 0.500 0.500
Te1 0.000 0.500 0.500
Te2 0.500 0.000 0.500
N1 0.500 0.500 0.000
```

- Formation energy (no corrections): 0.51 eV/atom
- Relative energy among the computed polymorphs: 0.0000 eV/atom